Below is a relaxed structure of YMn2Tl, with properties calculated at the PBE-GGA level.

Cell: 4.926 4.926 4.926 Å, 60.00 60.00 60.00°
Each line ends with the local moment (μB).
Sites, in units of the cell vectors:
Mn  0.000  0.000  0.000  3.75
Mn  0.250  0.250  0.250  3.72
Tl  0.500  0.500  0.500  -0.04
Y  0.750  0.750  0.750  -0.09

## Properties
- Crystal system: cubic
- Offset from the most stable computed form: 74 meV per atom
- SG: No. 216
- ΔH_f (0 K): 0.3054 eV per atom
- DFT total energy: -6.487 eV per atom


Below is a relaxed structure of Sr2PaSn3Pt4, with properties calculated at the PBE-GGA level.

Cell: 4.728 4.728 11.005 Å, 90.00 90.00 90.00°
Each line ends with the local moment (μB).
Sites, in units of the cell vectors:
Sr  0.500  0.000  0.224  0.01
Sr  0.000  0.500  0.776  0.01
Pa  0.500  0.500  0.500  0.37
Sn  0.000  0.000  0.500  -0.01
Sn  0.500  0.000  0.881  0.00
Sn  0.000  0.500  0.119  0.00
Pt  0.500  0.500  0.000  0.01
Pt  0.000  0.000  0.000  0.01
Pt  0.500  0.000  0.637  -0.01
Pt  0.000  0.500  0.363  -0.01

## Properties
- Crystal system: tetragonal
- SG: No. 115
- ΔH_f (0 K): -0.7745 eV per atom
- DFT total energy: -5.678 eV per atom


Below is a relaxed structure of Cd2MoIr, with properties calculated at the PBE-GGA level.

Cell: 2.953 4.799 4.935 Å, 90.00 90.00 90.00°
Sites, in units of the cell vectors:
Cd  0.000  0.000  0.000
Cd  0.500  0.500  0.000
Ir  0.500  0.000  0.500
Mo  0.000  0.500  0.500

## Properties
- Crystal system: orthorhombic
- Offset from the most stable computed form: 360 meV per atom
- SG: No. 47
- ΔH_f (0 K): 0.3751 eV per atom
- DFT total energy: -5.005 eV per atom


Below is a relaxed structure of MnSnTe2N, with properties calculated at the PBE-GGA level.

Cell: 5.575 5.575 3.539 Å, 90.00 90.00 90.00°
Each line ends with the local moment (μB).
Sites, in units of the cell vectors:
Te  0.000  0.500  0.000  -0.07
Te  0.500  0.000  0.000  -0.07
Sn  0.500  0.500  0.500  0.03
Mn  0.000  0.000  0.000  2.19
N  0.000  0.000  0.500  -0.30

## Properties
- Crystal system: tetragonal
- Offset from the most stable computed form: 0 meV per atom
- Energy relative to the elements, uncorrected: 0.5 eV per formula unit
- SG: No. 123
- DFT total energy: -5.454 eV per atom


Below is a relaxed structure of RbAg2BiBr6, with properties calculated at the PBE-GGA level.

Cell: 7.584 7.582 8.128 Å, 62.19 62.20 59.97°
Sites, in units of the cell vectors:
Rb  0.798  0.798  0.606
Ag  0.523  0.523  0.432
Ag  0.996  0.996  0.011
Bi  0.327  0.327  0.018
Br  0.598  0.259  0.231
Br  0.259  0.912  0.231
Br  0.912  0.598  0.231
Br  0.328  0.738  0.752
Br  0.738  0.182  0.752
Br  0.182  0.328  0.752

## Properties
- Crystal system: trigonal
- Energy relative to the elements, uncorrected: -7.7 eV per formula unit
- SG: No. 146
- DFT total energy: -2.830 eV per atom


Below is a relaxed structure of Pm8Co3SBr4, with properties calculated at the PBE-GGA level.

Cell: 8.088 8.932 8.088 Å, 116.93 120.00 90.00°
Sites, in units of the cell vectors:
Pm  0.239  0.694  0.955
Pm  0.239  0.694  0.478
Pm  0.270  0.309  0.539
Pm  0.716  0.694  0.955
Pm  0.284  0.306  0.045
Pm  0.730  0.691  0.461
Pm  0.761  0.306  0.522
Pm  0.761  0.306  0.045
Co  0.500  0.500  0.000
Co  0.500  0.500  0.500
Co  0.000  0.500  0.500
S  0.000  0.500  0.000
Br  0.500  0.000  0.000
Br  0.500  0.000  0.500
Br  0.000  0.000  0.000
Br  0.000  0.000  0.500

## Properties
- Crystal system: trigonal
- Energy relative to the elements, uncorrected: -15.0 eV per formula unit
- SG: No. 166
- DFT total energy: -5.323 eV per atom


Below is a relaxed structure of YSb2TeBr, with properties calculated at the PBE-GGA level.

Cell: 5.871 5.871 5.686 Å, 90.00 90.00 90.00°
Sites, in units of the cell vectors:
Y  0.000  0.000  0.000
Sb  0.000  0.500  0.000
Sb  0.500  0.000  0.000
Te  0.000  0.000  0.500
Br  0.500  0.500  0.500

## Properties
- Crystal system: tetragonal
- Offset from the most stable computed form: 0 meV per atom
- Energy relative to the elements, uncorrected: 0.6 eV per formula unit
- SG: No. 123
- DFT total energy: -3.794 eV per atom


Below is a relaxed structure of La2MgFeSb, with properties calculated at the PBE-GGA level.

Cell: 5.097 5.097 5.022 Å, 90.00 90.00 90.00°
Sites, in units of the cell vectors:
Sb  0.500  0.500  0.500
Mg  0.000  0.000  0.500
Fe  0.000  0.000  0.000
La  0.000  0.500  0.000
La  0.500  0.000  0.000

## Properties
- Crystal system: tetragonal
- Energy relative to the elements, uncorrected: -1.8 eV per formula unit
- SG: No. 123
- DFT total energy: -5.174 eV per atom


Below is a relaxed structure of ScHg2PSe, with properties calculated at the PBE-GGA level.

Cell: 5.226 5.071 5.226 Å, 90.00 90.00 90.00°
Sites, in units of the cell vectors:
Sc  0.000  0.500  0.000
P  0.500  0.500  0.500
Hg  0.000  0.000  0.500
Hg  0.500  0.000  0.000
Se  0.000  0.000  0.000

## Properties
- Crystal system: tetragonal
- Energy relative to the elements, uncorrected: 1.9 eV per formula unit
- SG: No. 123
- DFT total energy: -2.792 eV per atom


Below is a relaxed structure of BeCr3Ru, with properties calculated at the PBE-GGA level.

Cell: 3.916 3.916 3.916 Å, 90.00 90.00 90.00°
Sites, in units of the cell vectors:
Ru  0.500  0.500  0.500
Be  0.000  0.000  0.000
Cr  0.000  0.500  0.000
Cr  0.000  0.000  0.500
Cr  0.500  0.000  0.000

## Properties
- Crystal system: cubic
- Offset from the most stable computed form: 0 meV per atom
- SG: No. 221
- ΔH_f (0 K): 0.7921 eV per atom
- DFT total energy: -7.582 eV per atom


Below is a relaxed structure of HfZrCu2Cl, with properties calculated at the PBE-GGA level.

Cell: 4.915 5.317 4.915 Å, 90.00 90.00 90.00°
Sites, in units of the cell vectors:
Hf  0.000  0.500  0.000
Cu  0.000  0.000  0.500
Cu  0.500  0.000  0.000
Zr  0.000  0.000  0.000
Cl  0.500  0.500  0.500

## Properties
- Crystal system: tetragonal
- Energy relative to the elements, uncorrected: 5.9 eV per formula unit
- SG: No. 123
- DFT total energy: -4.525 eV per atom


Below is a relaxed structure of Pm3MnPt8, with properties calculated at the PBE-GGA level.

Cell: 5.456 5.456 9.430 Å, 73.19 73.19 60.00°
Each line ends with the local moment (μB).
Sites, in units of the cell vectors:
Pm  0.622  0.622  0.134  -0.04
Pm  0.009  0.009  0.972  0.00
Pm  0.493  0.493  0.521  0.00
Mn  0.137  0.137  0.588  4.12
Pt  0.562  0.060  0.816  0.02
Pt  0.061  0.560  0.318  0.04
Pt  0.562  0.562  0.816  0.02
Pt  0.061  0.061  0.318  0.04
Pt  0.811  0.811  0.568  0.05
Pt  0.311  0.311  0.067  0.01
Pt  0.060  0.562  0.816  0.02
Pt  0.560  0.061  0.318  0.04

## Properties
- Crystal system: trigonal
- SG: No. 160
- ΔH_f (0 K): -0.8891 eV per atom
- DFT total energy: -6.868 eV per atom